1.
! Bi2SbC | Alexandria via LeMat-Bulk | PBE | relaxed; values from VASP
! energy relative to the elements, uncorrected	379	kJ/mol of formula units
! Fermi-level density of states	6.16	states/eV per cell
! distance to the lowest polymorph of the same formula	0	meV per atom
! size of the total moment	0.0	μB per cell
&SYSTEM
  ibrav = 0, nat = 8, ntyp = 3
/
ATOMIC_SPECIES
C 12.01 C.upf
Bi 208.98 Bi.upf
Sb 121.76 Sb.upf
ATOMIC_POSITIONS crystal
C 0.5000 0.5000 0.0000
C 0.2500 0.7500 0.5000
Bi 0.2089 0.6250 0.2500
Bi 0.5411 0.1250 0.2500
Bi 0.8750 0.7911 0.7500
Bi 0.3750 0.4589 0.7500
Sb 0.0000 0.0000 0.0000
Sb 0.7500 0.2500 0.5000
CELL_PARAMETERS angstrom
6.9670 0.0000 0.0000
0.0000 6.9670 0.0000
3.4835 3.4835 4.6063

---

2.
! Bi2SbC | Alexandria via LeMat-Bulk | PBE | relaxed; values from VASP
! energy relative to the elements, uncorrected	564	kJ/mol of formula units
! Fermi-level density of states	3.15	states/eV per cell
! distance to the lowest polymorph of the same formula	480	meV per atom
! size of the total moment	0.0	μB per cell
&SYSTEM
  ibrav = 0, nat = 4, ntyp = 3
/
ATOMIC_SPECIES
Bi 208.98 Bi.upf
Sb 121.76 Sb.upf
C 12.01 C.upf
ATOMIC_POSITIONS crystal
Bi 0.2500 0.2500 0.2500
Bi 0.7500 0.7500 0.7500
Sb 0.5000 0.5000 0.5000
C 0.0000 0.0000 0.0000
CELL_PARAMETERS angstrom
0.0000 3.6587 3.6587
3.6587 0.0000 3.6587
3.6587 3.6587 0.0000